Record 1
Entry from Alexandria: a relaxed Al4GaAg5 crystal (PBE-GGA).

Cell and atoms, written as POSCAR:
```
Al4GaAg5
1.0
-0.757 -2.544 -1.800
6.871 -0.637 0.866
-1.147 -4.547 6.910
Al Ag Ga
4 5 1
direct
0.010 0.020 0.751
0.333 0.665 0.749
0.667 0.335 0.251
0.990 0.980 0.249
0.172 0.345 0.563
0.828 0.655 0.437
0.832 0.663 0.046
0.500 0.000 0.500
0.168 0.337 0.954
0.500 0.000 0.000
```

Results
- symmetry = C2/m
- DFT formation energy (meV/atom) = 49

Record 2
Entry from Alexandria: a relaxed LiNdMnN3 crystal (PBE-GGA).

Cell and atoms, written as POSCAR:
```
LiNdMnN3
1.0
-1.918 -2.972 3.867
4.761 -0.049 2.323
-3.574 4.088 1.370
N Nd Mn Li
6 2 2 2
direct
0.500 0.781 0.000
0.250 0.243 0.487
0.750 0.757 0.513
0.000 0.781 0.000
0.500 0.219 0.000
0.000 0.219 0.000
0.750 0.239 0.479
0.250 0.761 0.521
0.750 0.934 0.867
0.250 0.066 0.133
0.250 0.445 0.891
0.750 0.555 0.109
```

Results
- total energy (eV/atom) = -7.38
- symmetry = Cmcm

Record 3
Entry from Alexandria: a relaxed TeP2Cl crystal (PBE-GGA).

Cell and atoms, written as POSCAR:
```
TeP2Cl
1.0
3.826 0.000 0.000
0.000 3.826 0.000
0.000 0.000 6.436
Cl P Te
1 2 1
direct
0.500 0.500 0.750
0.000 0.000 0.080
0.000 0.000 0.420
0.500 0.500 0.250
```

Results
- total energy (eV/atom) = -3.52
- symmetry = P4/mmm

Record 4
Entry from Alexandria: a relaxed GeS2Br crystal (PBE-GGA).

Cell and atoms, written as POSCAR:
```
GeS2Br
1.0
6.382 0.013 -0.345
0.012 5.964 -0.007
-0.640 -0.009 11.935
S Br Ge
8 4 4
direct
0.750 0.501 0.426
0.594 0.999 0.870
0.750 0.499 0.074
0.250 0.499 0.574
0.250 0.501 0.926
0.406 0.001 0.130
0.094 0.999 0.370
0.906 0.001 0.630
0.250 0.000 0.750
0.750 0.500 0.750
0.250 0.500 0.250
0.750 0.000 0.250
0.000 0.265 0.500
0.500 0.265 0.000
0.000 0.735 0.500
0.500 0.735 0.000
```

Results
- total energy (eV/atom) = -3.78
- symmetry = P-1

Record 5
Entry from Alexandria: a relaxed SrCaEr crystal (PBE-GGA).

Cell and atoms, written as POSCAR:
```
SrCaEr
1.0
-3.367 -1.073 1.474
2.406 -2.633 -1.392
4.038 -0.857 8.601
Sr Er Ca
1 1 1
direct
0.000 0.000 0.010
0.667 0.333 0.341
0.333 0.667 0.649
```

Results
- symmetry = P3m1
- DFT formation energy (meV/atom) = 177

Record 6
Entry from Alexandria: a relaxed La8GaRh3I4 crystal (PBE-GGA).

Cell and atoms, written as POSCAR:
```
La8GaRh3I4
1.0
8.640 0.000 0.000
0.000 9.557 0.650
-4.320 -4.327 6.112
Ga La I Rh
1 8 4 3
direct
0.000 0.500 0.000
0.763 0.313 0.049
0.714 0.687 0.951
0.269 0.307 0.537
0.237 0.687 0.951
0.286 0.313 0.049
0.731 0.693 0.463
0.764 0.313 0.528
0.236 0.687 0.472
0.000 0.000 0.000
0.000 0.000 0.500
0.500 0.000 0.500
0.500 0.000 0.000
0.500 0.500 0.000
0.000 0.500 0.500
0.500 0.500 0.500
```

Results
- total energy (eV/atom) = -5.38
- symmetry = R-3m

Record 7
Entry from Alexandria: a relaxed CdBr crystal (PBE-GGA).

Cell and atoms, written as POSCAR:
```
CdBr
1.0
-3.684 2.666 -4.289
-5.290 -3.291 0.502
3.844 4.056 2.800
Cd Br
2 2
direct
0.118 0.868 0.750
0.882 0.132 0.250
0.672 0.422 0.750
0.328 0.578 0.250
```

Results
- total energy (eV/atom) = -1.75
- symmetry = Imma

Record 8
Entry from Alexandria: a relaxed CsTlCl3 crystal (PBE-GGA).

Cell and atoms, written as POSCAR:
```
CsTlCl3
1.0
-1.729 3.036 3.506
-4.435 -7.009 4.284
5.329 -4.314 6.104
Cl Tl Cs
6 2 2
direct
0.028 0.502 0.983
0.537 0.442 0.667
0.470 0.289 0.345
0.507 0.840 0.779
0.042 0.992 0.050
0.995 0.791 0.470
0.796 0.642 0.725
0.519 0.193 0.075
0.991 0.144 0.617
0.539 0.688 0.200
```

Results
- total energy (eV/atom) = -3.02
- symmetry = P1

Record 9
Entry from Alexandria: a relaxed La6NiHg crystal (PBE-GGA).

Cell and atoms, written as POSCAR:
```
La6NiHg
1.0
6.525 1.349 -1.686
4.605 7.317 -1.177
1.821 2.257 5.579
La Ni Hg
6 1 1
direct
0.908 0.707 0.292
0.830 0.943 0.673
0.448 0.325 0.057
0.092 0.293 0.708
0.552 0.675 0.943
0.170 0.057 0.327
0.000 0.000 0.000
0.500 0.500 0.500
```

Results
- symmetry = P-1
- DFT formation energy (meV/atom) = -146

Record 10
Entry from Alexandria: a relaxed NbVCoMo crystal (PBE-GGA).

Cell and atoms, written as POSCAR:
```
NbVCoMo
1.0
-1.212 3.306 -2.562
1.025 -0.036 -4.232
-3.112 -0.590 -2.989
V Co Mo Nb
1 1 1 1
direct
0.500 0.500 0.500
0.250 0.250 0.250
0.750 0.750 0.750
0.000 0.000 0.000
```

Results
- symmetry = F-43m
- DFT formation energy (meV/atom) = -42